Compound: La3Al2Cu2
Source: the Alexandria database
Functional: PBE-GGA
Structure: optimized geometry

Summary:
Total magnetic moment, μB/cell: 0.00
Formation energy from the elements, eV/f.u.: -1.907
Symmetry: Immm, No. 71

Cell lengths 10.477, 10.477, 10.477 Å; angles 154.92, 159.10, 32.86 degrees
Fractional coordinates of all 7 atoms:
1 Al 0.633 0.133 0.500
2 Cu 0.565 0.565 0.000
3 La 0.190 0.690 0.500
4 Cu 0.435 0.435 0.000
5 Al 0.367 0.867 0.500
6 La 0.000 0.000 0.000
7 La 0.810 0.310 0.500

=====

Compound: NaPbAu
Source: the Alexandria database
Functional: PBE-GGA
Structure: optimized geometry

Summary:
Total magnetic moment, μB/cell: 0.00
Formation energy from the elements, eV/f.u.: -0.486
Symmetry: I4mm, No. 107

Cell lengths 3.831, 3.831, 5.817 Å; angles 109.22, 109.22, 90.00 degrees
Fractional coordinates of all 3 atoms:
1 Pb 0.308 0.308 0.617
2 Au 0.931 0.931 0.862
3 Na 0.610 0.610 0.221

=====

Compound: LaMgZnPt3
Source: the Alexandria database
Functional: PBE-GGA
Structure: optimized geometry

Summary:
Total magnetic moment, μB/cell: 0.00
Formation energy from the elements, eV/f.u.: -3.580
Symmetry: Cmcm, No. 63

Cell lengths 5.736, 6.838, 7.133 Å; angles 118.64, 90.00, 90.00 degrees
Fractional coordinates of all 12 atoms:
1 Pt 0.750 0.835 0.671
2 La 0.250 0.690 0.381
3 La 0.750 0.310 0.619
4 Zn 0.250 0.364 0.728
5 Pt 0.250 0.165 0.329
6 Pt 0.000 0.703 0.000
7 Zn 0.750 0.636 0.272
8 Pt 0.500 0.703 0.000
9 Mg 0.750 0.053 0.107
10 Mg 0.250 0.947 0.893
11 Pt 0.500 0.297 0.000
12 Pt 0.000 0.297 0.000

=====

Compound: Ho3Cu5Se12
Source: the Alexandria database
Functional: PBE-GGA
Structure: optimized geometry

Summary:
Total magnetic moment, μB/cell: 0.00
ΔE_f (raw), kJ/mol of atoms: -61
Symmetry: Ia-3d, No. 230

Cell lengths 13.357, 13.357, 13.357 Å; angles 109.47, 109.47, 109.47 degrees
Fractional coordinates of all 80 atoms:
1 Se 0.826 0.916 0.292
2 Se 0.326 0.792 0.416
3 Cu 0.500 0.500 0.500
4 Se 0.624 0.590 0.916
5 Se 0.466 0.674 0.090
6 Ho 0.625 0.375 0.750
7 Se 0.124 0.708 0.534
8 Cu 0.375 0.125 0.750
9 Se 0.534 0.326 0.910
10 Ho 0.250 0.625 0.875
11 Ho 0.750 0.375 0.125
12 Ho 0.625 0.250 0.375
13 Se 0.966 0.376 0.292
14 Cu 0.875 0.250 0.625
15 Se 0.792 0.326 0.916
16 Se 0.876 0.292 0.466
17 Se 0.376 0.410 0.084
18 Se 0.916 0.090 0.624
19 Se 0.410 0.034 0.326
20 Cu 0.500 0.000 0.000
21 Cu 0.000 0.500 0.000
22 Se 0.208 0.674 0.084
23 Cu 0.375 0.250 0.125
24 Se 0.292 0.416 0.826
25 Se 0.292 0.876 0.966
26 Ho 0.375 0.750 0.625
27 Se 0.084 0.174 0.208
28 Se 0.910 0.084 0.876
29 Se 0.910 0.826 0.534
30 Se 0.916 0.826 0.792
31 Se 0.034 0.410 0.826
32 Se 0.466 0.792 0.876
33 Ho 0.875 0.750 0.125
34 Se 0.208 0.534 0.624
35 Cu 0.000 0.000 0.000
36 Se 0.090 0.916 0.124
37 Se 0.376 0.966 0.792
38 Se 0.534 0.208 0.124
39 Se 0.624 0.034 0.208
40 Se 0.124 0.416 0.090
41 Se 0.084 0.910 0.376
42 Se 0.674 0.208 0.584
43 Se 0.090 0.174 0.466
44 Se 0.034 0.624 0.708
45 Cu 0.125 0.375 0.250
46 Ho 0.250 0.125 0.375
47 Cu 0.875 0.625 0.750
48 Cu 0.750 0.125 0.875
49 Cu 0.500 0.500 0.000
50 Ho 0.750 0.875 0.625
51 Se 0.326 0.534 0.410
52 Cu 0.125 0.750 0.375
53 Se 0.590 0.966 0.674
54 Cu 0.625 0.750 0.875
55 Cu 0.750 0.625 0.375
56 Se 0.174 0.090 0.966
57 Se 0.590 0.624 0.416
58 Cu 0.000 0.000 0.500
59 Se 0.174 0.084 0.708
60 Se 0.410 0.376 0.584
61 Ho 0.875 0.125 0.250
62 Cu 0.000 0.500 0.500
63 Se 0.966 0.590 0.174
64 Cu 0.500 0.000 0.500
65 Se 0.584 0.876 0.410
66 Ho 0.375 0.625 0.250
67 Se 0.708 0.584 0.174
68 Ho 0.125 0.250 0.875
69 Se 0.416 0.124 0.590
70 Se 0.876 0.584 0.910
71 Ho 0.125 0.875 0.750
72 Se 0.792 0.466 0.376
73 Cu 0.250 0.375 0.625
74 Se 0.584 0.708 0.674
75 Se 0.826 0.910 0.034
76 Cu 0.625 0.875 0.250
77 Se 0.674 0.466 0.590
78 Cu 0.250 0.875 0.125
79 Se 0.708 0.124 0.034
80 Se 0.416 0.292 0.326

=====

Compound: CaPr3Sm7
Source: the Alexandria database
Functional: PBE-GGA
Structure: optimized geometry

Summary:
Total magnetic moment, μB/cell: 0.00
Relative energy among the computed polymorphs, meV/atom: 0
Formation energy from the elements, eV/f.u.: 2.196
Symmetry: P3m1, No. 156

Cell lengths 8.877, 7.259, 7.259 Å; angles 120.00, 90.00, 90.00 degrees
Fractional coordinates of all 11 atoms:
1 Pr 0.788 0.503 0.497
2 Sm 0.114 0.165 0.330
3 Sm 0.114 0.165 0.835
4 Sm 0.125 0.667 0.333
5 Pr 0.788 0.994 0.497
6 Ca 0.444 0.333 0.667
7 Sm 0.446 0.832 0.168
8 Sm 0.114 0.670 0.835
9 Sm 0.446 0.832 0.663
10 Sm 0.446 0.337 0.168
11 Pr 0.788 0.503 0.006

=====

Compound: ScAu2
Source: the Alexandria database
Functional: PBE-GGA
Structure: optimized geometry

Summary:
Total magnetic moment, μB/cell: 0.00
Formation energy from the elements, eV/f.u.: -1.145
Symmetry: Fd-3m, No. 227

Cell lengths 5.528, 5.528, 5.528 Å; angles 60.00, 60.00, 60.00 degrees
Fractional coordinates of all 6 atoms:
1 Au 0.125 0.125 0.125
2 Au 0.125 0.625 0.125
3 Au 0.125 0.125 0.625
4 Sc 0.500 0.500 0.500
5 Au 0.625 0.125 0.125
6 Sc 0.750 0.750 0.750

=====

Compound: Pm2GaSi3Ni4
Source: the Alexandria database
Functional: PBE-GGA
Structure: optimized geometry

Summary:
Total magnetic moment, μB/cell: 0.00
ΔE_f (raw), kJ/mol of atoms: -74
Symmetry: P-4m2, No. 115

Cell lengths 4.058, 4.058, 9.626 Å; angles 90.00, 90.00, 90.00 degrees
Fractional coordinates of all 10 atoms:
1 Ga 0.500 0.500 0.500
2 Ni 0.000 0.500 0.366
3 Si 0.000 0.500 0.124
4 Ni 0.500 0.000 0.634
5 Si 0.000 0.000 0.500
6 Pm 0.000 0.500 0.752
7 Pm 0.500 0.000 0.248
8 Si 0.500 0.000 0.876
9 Ni 0.000 0.000 0.000
10 Ni 0.500 0.500 0.000

=====

Compound: CaCeGdTm
Source: the Alexandria database
Functional: PBE-GGA
Structure: optimized geometry

Summary:
Total magnetic moment, μB/cell: 9.35
Formation energy from the elements, eV/f.u.: 0.918
Symmetry: F-43m, No. 216

Cell lengths 5.744, 5.744, 5.744 Å; angles 60.00, 60.00, 60.00 degrees
Fractional coordinates of all 4 atoms:
1 Ce 0.250 0.250 0.250
2 Tm 0.000 0.000 0.000
3 Ca 0.750 0.750 0.750
4 Gd 0.500 0.500 0.500

=====

Compound: Ac2Y3
Source: the Alexandria database
Functional: PBE-GGA
Structure: optimized geometry

Summary:
Total magnetic moment, μB/cell: 0.00
Relative energy among the computed polymorphs, meV/atom: 0
Formation energy from the elements, eV/f.u.: 1.248
Symmetry: P-1, No. 2

Cell lengths 9.933, 9.304, 5.601 Å; angles 51.92, 72.74, 76.40 degrees
Fractional coordinates of all 10 atoms:
1 Ac 0.842 0.713 0.872
2 Y 0.769 0.182 0.441
3 Y 0.168 0.560 0.346
4 Y 0.832 0.440 0.654
5 Y 0.616 0.963 0.227
6 Y 0.231 0.818 0.559
7 Ac 0.000 0.000 0.000
8 Ac 0.158 0.287 0.128
9 Ac 0.500 0.500 0.500
10 Y 0.384 0.037 0.773

=====

Compound: SmHoTm2Th
Source: the Alexandria database
Functional: PBE-GGA
Structure: optimized geometry

Summary:
Total magnetic moment, μB/cell: 0.00
Formation energy from the elements, eV/f.u.: 1.657
Symmetry: P2/m, No. 10

Cell lengths 5.586, 8.620, 7.044 Å; angles 90.10, 90.00, 90.00 degrees
Fractional coordinates of all 10 atoms:
1 Tm 0.500 0.322 0.001
2 Ho 0.000 0.500 0.250
3 Tm 0.500 0.322 0.501
4 Sm 0.000 0.000 0.000
5 Tm 0.500 0.678 0.499
6 Th 0.500 0.000 0.250
7 Ho 0.000 0.500 0.750
8 Th 0.500 0.000 0.750
9 Tm 0.500 0.678 0.999
10 Sm 0.000 0.000 0.500

=====

Compound: Na2TiRhO4
Source: the Alexandria database
Functional: PBE-GGA
Structure: optimized geometry

Summary:
Total magnetic moment, μB/cell: 1.01
ΔE_f (raw), kJ/mol of atoms: -172
Symmetry: P2/m, No. 10

Cell lengths 3.136, 5.294, 5.673 Å; angles 107.31, 90.00, 90.00 degrees
Fractional coordinates of all 8 atoms:
1 Ti 0.500 0.500 0.000
2 O 0.000 0.278 0.798
3 O 0.500 0.740 0.790
4 O 0.500 0.260 0.210
5 Rh 0.000 0.000 0.000
6 Na 0.000 0.500 0.500
7 O 0.000 0.722 0.202
8 Na 0.500 0.000 0.500

=====

Compound: YTa2N2
Source: the Alexandria database
Functional: PBE-GGA
Structure: optimized geometry

Summary:
Total magnetic moment, μB/cell: 0.00
Relative energy among the computed polymorphs, meV/atom: 264
ΔE_f (raw), kJ/mol of atoms: 8
Symmetry: P4/mbm, No. 127

Cell lengths 6.544, 6.544, 3.066 Å; angles 90.00, 90.00, 90.00 degrees
Fractional coordinates of all 10 atoms:
1 Ta 0.352 0.148 0.500
2 Y 0.500 0.500 0.000
3 N 0.861 0.639 0.000
4 N 0.639 0.139 0.000
5 Ta 0.648 0.852 0.500
6 Y 0.000 0.000 0.000
7 N 0.139 0.361 0.000
8 N 0.361 0.861 0.000
9 Ta 0.148 0.648 0.500
10 Ta 0.852 0.352 0.500